First-principles (PBE) data for crystalline La2NdSm3Er6 at its relaxed geometry, as listed in Alexandria.

Computed properties:
Space-group type = C2/m

Structure (CIF):
```
data_La2NdSm3Er6
_space_group_name_H-M_alt 'P 1'
_space_group_IT_number 1
_space_group_name_Hall 'P 1'
_cell_length_a 6.2414
_cell_length_b 6.2414
_cell_length_c 11.7782
_cell_angle_alpha 95.05
_cell_angle_beta 95.05
_cell_angle_gamma 119.99
loop_
_atom_site_label
_atom_site_fract_x
_atom_site_fract_y
_atom_site_fract_z
La1 0.3332 0.6668 0.0000
La2 0.6668 0.3332 0.0000
Nd1 0.0000 0.0000 0.0000
Sm1 0.1665 0.8335 0.5000
Sm2 0.8335 0.1665 0.5000
Sm3 0.5000 0.5000 0.5000
Er1 0.9157 0.5830 0.7472
Er2 0.7516 0.7516 0.2528
Er3 0.0843 0.4170 0.2528
Er4 0.5830 0.9157 0.7472
Er5 0.2484 0.2484 0.7472
Er6 0.4170 0.0843 0.2528
```

First-principles (PBE) data for crystalline La3NdSmEr at its relaxed geometry, as listed in Alexandria.

Computed properties:
Space-group type = P2_1/m

Structure (CIF):
```
data_La3NdSmEr
_space_group_name_H-M_alt 'P 1'
_space_group_IT_number 1
_space_group_name_Hall 'P 1'
_cell_length_a 5.2312
_cell_length_b 8.1568
_cell_length_c 10.9908
_cell_angle_alpha 115.91
_cell_angle_beta 90.00
_cell_angle_gamma 90.00
loop_
_atom_site_label
_atom_site_fract_x
_atom_site_fract_y
_atom_site_fract_z
La1 0.2500 0.6272 0.4582
La2 0.7500 0.8720 0.0428
La3 0.7500 0.3782 0.2057
La4 0.7500 0.3728 0.5418
La5 0.2500 0.6218 0.7943
La6 0.2500 0.1280 0.9572
Nd1 0.7500 0.8787 0.7085
Nd2 0.2500 0.1213 0.2915
Sm1 0.2500 0.1259 0.6248
Sm2 0.7500 0.8741 0.3752
Er1 0.2500 0.6259 0.1246
Er2 0.7500 0.3741 0.8754
```

Number 1: N(E_F) 13.40 states/eV per cell, E -4.663 eV/atom. Number 2: N(E_F) 22.02 states/eV per cell, E -4.779 eV/atom.